1.
Computed, not measured: crystalline YSiMo at its relaxed geometry at the PBE level of DFT.

- total DFT energy (no corrections) (eV for the cell shown) = -96.1
- crystal system = tetragonal

Cell lengths 8.122, 8.122, 3.643 Å; angles 90.00, 90.00, 90.00 degrees
Space group P4_2/m (No. 84)
Symmetry-distinct sites (fractional):
Y1 0.088 0.732 0.000
Si1 0.141 0.447 0.500
Mo1 0.349 0.390 0.000

=====

2.
Computed, not measured: crystalline Pr4CoAuI2 at its relaxed geometry at the PBE level of DFT.

- total DFT energy (no corrections) (eV for the cell shown) = -38.3
- crystal system = monoclinic

Cell lengths 7.489, 4.228, 8.483 Å; angles 90.00, 106.62, 90.00 degrees
Space group P2/m (No. 10)
Symmetry-distinct sites (fractional):
Pr1 0.215 0.000 0.186
Pr2 0.235 0.500 0.811
Co1 0.000 0.500 0.000
Au1 0.500 0.000 0.000
I1 0.000 0.000 0.500
I2 0.500 0.500 0.500

=====

3.
Computed, not measured: crystalline AgBi2Pd8 at its relaxed geometry at the PBE level of DFT.

- energy relative to the elements (eV per atom) = -0.165
- polymorph energy (0 for the lowest one) (meV per atom) = 7.6
- crystal system = monoclinic

Cell lengths 14.747, 4.196, 6.605 Å; angles 90.00, 109.35, 90.00 degrees
Space group C2/m (No. 12)
Symmetry-distinct sites (fractional):
Ag1 0.000 0.000 0.000
Bi1 0.214 0.500 0.666
Pd1 0.037 0.500 0.729
Pd2 0.087 0.000 0.452
Pd3 0.139 0.500 0.187
Pd4 0.173 0.000 0.912

=====

4.
Computed, not measured: crystalline As2Pt at its relaxed geometry at the PBE level of DFT.

- energy relative to the elements (eV per atom) = 0.070
- crystal system = tetragonal

Cell lengths 4.007, 4.007, 3.652 Å; angles 90.00, 90.00, 90.00 degrees
Space group P4/mmm (No. 123)
Symmetry-distinct sites (fractional):
As1 0.000 0.500 0.000
Pt1 0.000 0.000 0.500

=====

V values (in Å³ per cell) by entry order: 240; 257; 386; 59.